Here is a geometry-optimized AsP2Cl structure from Alexandria via LeMat-Bulk. Energies are from PBE.

Unit cell a=5.8340 b=5.8340 c=4.7053 alpha=79.47 beta=79.47 gamma=31.34
Last column: nearest neighbours and their distance in Å.
Sites, in units of the cell vectors:
As1 0.7500 0.7500 0.7500  4 Cl 2.83, 4 P 2.91, 2 As 3.15
Cl1 0.2500 0.2500 0.2500  4 As 2.83, 2 Cl 3.15
P1 0.0281 0.0281 0.8828  2 P 2.18
P2 0.4719 0.4719 0.6172  2 P 2.18

## Properties
ΔE_f (raw) = 292 meV/atom
M_tot = 0.00 μB per cell
calculated total energy = -4.04 eV per atom